No. 1
A relaxed ZnAu2 crystal, computed with GGA-PBEsol.

Computed properties:
Total DFT energy (no corrections), eV per atom: -3.315
Crystal system: orthorhombic
Energy of formation, eV/atom: -0.172
Fermi-level density of states, states/eV per atom: 0.27
Density, g/cm³: 16.05

abc: 2.9346 3.4544 9.3768
angles: 90.00 90.00 90.00
Space group Immm (No. 71)
Symmetry-distinct sites (fractional):
Zn 0.0000 0.0000 0.0000 x2
Au 0.0000 0.0000 0.3454 x4



No. 2
A relaxed Zn5Au4 crystal, computed with GGA-PBEsol.

Computed properties:
Total DFT energy (no corrections), eV per atom: -2.812
Crystal system: hexagonal
Energy of formation, eV/atom: -0.189
Fermi-level density of states, states/eV per atom: 0.22
ΔE to the lowest computed polymorph, meV/atom: 0
Density, g/cm³: 13.36

abc: 7.6903 7.6903 5.4131
angles: 90.00 90.00 120.00
Space group P6_3/mcm (No. 193)
Symmetry-distinct sites (fractional):
Zn 0.0000 0.2987 0.2500 x6
Zn 0.3333 0.6667 0.0000 x4
Au 0.0000 0.0000 0.0000 x2
Au 0.0000 0.3739 0.7500 x6